First-principles (GGA+U) data for crystalline MnHBrO at its relaxed geometry, as listed in Alexandria via LeMat-Bulk.

Unit cell a=3.6352 b=3.6352 c=5.8872 alpha=72.12 beta=72.02 gamma=60.00
Last column: nearest neighbours and their distance in Å.
Atoms (fractional coordinates):
O (0.7462, 0.9613, 0.5464)  1 H 0.98
H (0.6862, 0.9029, 0.7247)  1 O 0.98
Br (0.2368, 0.4495, 0.0768)  3 Mn 2.77, 3 H 2.85-2.86
Mn (0.4599, 0.6744, 0.4057)  3 O 2.24

Results
SG   Cm
VASP energy   -5.560 eV per atom